1.
Ti2Mo2W5: relaxed, GGA-PBE. Values from VASP.

Results
* calculated total energy: -99.86 eV/f.u.
* calculated volume: 151 Å³/f.u.
* density of states at the Fermi level: 14.4 states/eV per cell
* ΔE_f: 262 meV per atom
* space-group type: C2/c (15)

Structure (Quantum ESPRESSO input):
```
&SYSTEM
  ibrav = 0, nat = 18, ntyp = 3
/
ATOMIC_SPECIES
Ti 47.87 Ti.upf
Mo 95.94 Mo.upf
W 183.84 W.upf
CELL_PARAMETERS angstrom
-4.267 -0.053 -2.950
3.750 -6.612 -5.305
-2.825 -0.066 8.650
ATOMIC_POSITIONS crystal
Ti 0.923 0.000 0.000
Ti 0.447 0.500 0.000
Ti 0.185 0.250 0.500
Ti 0.685 0.750 0.500
Mo 0.554 0.115 0.254
Mo 0.299 0.885 0.746
Mo 0.071 0.615 0.254
Mo 0.816 0.385 0.746
W 0.052 0.165 0.805
W 0.247 0.835 0.195
W 0.685 0.250 0.000
W 0.685 0.750 0.000
W 0.318 0.335 0.195
W 0.123 0.665 0.805
W 0.939 0.440 0.398
W 0.541 0.560 0.602
W 0.829 0.941 0.398
W 0.431 0.059 0.602
```



2.
Ti2Mo3W: relaxed, GGA-PBE. Values from VASP.

Results
* calculated total energy: -61.87 eV/f.u.
* calculated volume: 95 Å³/f.u.
* density of states at the Fermi level: 15.2 states/eV per cell
* ΔE_f: -106 meV per atom
* space-group type: Cmmm (65)

Structure (Quantum ESPRESSO input):
```
&SYSTEM
  ibrav = 0, nat = 12, ntyp = 3
/
ATOMIC_SPECIES
Ti 47.87 Ti.upf
Mo 95.94 Mo.upf
W 183.84 W.upf
CELL_PARAMETERS angstrom
-2.409 -3.002 -2.269
2.993 -6.337 0.809
-3.576 -1.030 5.160
ATOMIC_POSITIONS crystal
Ti 0.000 0.000 0.000
Ti 0.000 0.000 0.500
Ti 0.333 0.333 0.500
Ti 0.667 0.667 0.500
Mo 0.833 0.335 0.752
Mo 0.500 0.000 0.247
Mo 0.167 0.665 0.248
Mo 0.833 0.335 0.248
Mo 0.167 0.665 0.752
Mo 0.500 0.000 0.753
W 0.334 0.332 0.000
W 0.666 0.668 0.000
```



3.
TiMoW5: relaxed, GGA-PBE. Values from VASP.

Results
* calculated total energy: -82.33 eV/f.u.
* calculated volume: 118 Å³/f.u.
* density of states at the Fermi level: 9.3 states/eV per cell
* ΔE_f: 166 meV per atom
* space-group type: Imma (74)

Structure (Quantum ESPRESSO input):
```
&SYSTEM
  ibrav = 0, nat = 14, ntyp = 3
/
ATOMIC_SPECIES
Ti 47.87 Ti.upf
Mo 95.94 Mo.upf
W 183.84 W.upf
CELL_PARAMETERS angstrom
7.031 -0.116 1.834
1.553 6.858 1.834
0.567 0.445 5.110
ATOMIC_POSITIONS crystal
Ti 0.910 0.590 0.250
Ti 0.090 0.410 0.750
Mo 0.000 0.000 0.000
Mo 0.500 0.500 0.500
W 0.126 0.132 0.371
W 0.252 0.752 0.748
W 0.632 0.626 0.871
W 0.574 0.926 0.250
W 0.748 0.248 0.752
W 0.252 0.752 0.248
W 0.426 0.074 0.750
W 0.368 0.374 0.129
W 0.748 0.248 0.252
W 0.874 0.868 0.629
```



4.
TiMoW: relaxed, GGA-PBE. Values from VASP.

Results
* calculated total energy: -32.02 eV/f.u.
* calculated volume: 48 Å³/f.u.
* density of states at the Fermi level: 3.0 states/eV per cell
* ΔE_f: -113 meV per atom
* space-group type: P3m1 (156)

Structure (Quantum ESPRESSO input):
```
&SYSTEM
  ibrav = 0, nat = 3, ntyp = 3
/
ATOMIC_SPECIES
Mo 95.94 Mo.upf
W 183.84 W.upf
Ti 47.87 Ti.upf
CELL_PARAMETERS angstrom
2.805 0.000 0.000
0.000 4.442 0.000
0.000 -2.221 3.847
ATOMIC_POSITIONS crystal
Mo 0.345 0.667 0.333
W 0.644 0.333 0.667
Ti 0.011 0.000 0.000
```



5.
Ti2MoW6: relaxed, GGA-PBE. Values from VASP.

Results
* calculated total energy: -100.14 eV/f.u.
* calculated volume: 150 Å³/f.u.
* density of states at the Fermi level: 12.8 states/eV per cell
* ΔE_f: 467 meV per atom
* space-group type: P-6m2 (187)

Structure (Quantum ESPRESSO input):
```
&SYSTEM
  ibrav = 0, nat = 9, ntyp = 3
/
ATOMIC_SPECIES
Ti 47.87 Ti.upf
Mo 95.94 Mo.upf
W 183.84 W.upf
CELL_PARAMETERS angstrom
2.790 0.000 0.000
-1.395 2.416 0.000
0.000 0.000 22.203
ATOMIC_POSITIONS crystal
Ti 0.667 0.333 0.331
Ti 0.667 0.333 0.669
Mo 0.333 0.667 0.000
W 0.667 0.333 0.890
W 0.333 0.667 0.442
W 0.333 0.667 0.780
W 0.333 0.667 0.220
W 0.333 0.667 0.558
W 0.667 0.333 0.110
```



6.
TiMo2W6: relaxed, GGA-PBE. Values from VASP.

Results
* calculated total energy: -103.57 eV/f.u.
* calculated volume: 155 Å³/f.u.
* density of states at the Fermi level: 7.0 states/eV per cell
* ΔE_f: 412 meV per atom
* space-group type: P-1 (2)

Structure (Quantum ESPRESSO input):
```
&SYSTEM
  ibrav = 0, nat = 9, ntyp = 3
/
ATOMIC_SPECIES
Ti 47.87 Ti.upf
Mo 95.94 Mo.upf
W 183.84 W.upf
CELL_PARAMETERS angstrom
4.479 -0.172 -1.005
0.032 5.437 -0.768
-0.865 1.831 6.292
ATOMIC_POSITIONS crystal
Ti 0.000 0.000 0.000
Mo 0.900 0.471 0.799
Mo 0.100 0.529 0.201
W 0.702 0.862 0.403
W 0.298 0.138 0.597
W 0.295 0.657 0.590
W 0.499 0.252 0.998
W 0.501 0.748 0.002
W 0.705 0.343 0.410
```



7.
Ti2Mo5W4: relaxed, GGA-PBE. Values from VASP.

Results
* calculated total energy: -121.46 eV/f.u.
* calculated volume: 177 Å³/f.u.
* density of states at the Fermi level: 9.6 states/eV per cell
* ΔE_f: 27 meV per atom
* space-group type: P-1 (2)

Structure (Quantum ESPRESSO input):
```
&SYSTEM
  ibrav = 0, nat = 11, ntyp = 3
/
ATOMIC_SPECIES
Ti 47.87 Ti.upf
Mo 95.94 Mo.upf
W 183.84 W.upf
CELL_PARAMETERS angstrom
2.731 -0.163 0.060
-0.517 6.931 -0.366
1.664 -0.070 9.433
ATOMIC_POSITIONS crystal
Ti 0.512 0.271 0.816
Ti 0.488 0.729 0.184
Mo 0.087 0.544 0.636
Mo 0.913 0.456 0.364
Mo 0.837 0.907 0.723
Mo 0.500 0.000 0.000
Mo 0.163 0.093 0.277
W 0.357 0.183 0.544
W 0.233 0.633 0.908
W 0.643 0.817 0.456
W 0.767 0.367 0.092
```



8.
TiMo4W5: relaxed, GGA-PBE. Values from VASP.

Results
* calculated total energy: -116.49 eV/f.u.
* calculated volume: 160 Å³/f.u.
* density of states at the Fermi level: 4.4 states/eV per cell
* ΔE_f: -51 meV per atom
* space-group type: P4/mmm (123)

Structure (Quantum ESPRESSO input):
```
&SYSTEM
  ibrav = 0, nat = 10, ntyp = 3
/
ATOMIC_SPECIES
Ti 47.87 Ti.upf
Mo 95.94 Mo.upf
W 183.84 W.upf
CELL_PARAMETERS angstrom
-1.578 2.002 -1.883
0.262 -2.052 -2.401
-13.748 -6.790 4.304
ATOMIC_POSITIONS crystal
Ti 0.000 0.000 0.000
Mo 0.000 0.000 0.200
Mo 0.000 0.000 0.400
Mo 0.000 0.000 0.600
Mo 0.000 0.000 0.800
W 0.500 0.500 0.103
W 0.500 0.500 0.301
W 0.500 0.500 0.500
W 0.500 0.500 0.699
W 0.500 0.500 0.897
```



9.
TiMoW: relaxed, GGA-PBE. Values from VASP.

Results
* calculated total energy: -31.91 eV/f.u.
* calculated volume: 48 Å³/f.u.
* density of states at the Fermi level: 6.8 states/eV per cell
* ΔE_f: -76 meV per atom
* space-group type: P-1 (2)

Structure (Quantum ESPRESSO input):
```
&SYSTEM
  ibrav = 0, nat = 6, ntyp = 3
/
ATOMIC_SPECIES
Ti 47.87 Ti.upf
Mo 95.94 Mo.upf
W 183.84 W.upf
CELL_PARAMETERS angstrom
-2.380 -0.707 1.280
3.100 -4.461 -0.779
3.330 2.460 5.464
ATOMIC_POSITIONS crystal
Ti 0.827 0.916 0.668
Ti 0.173 0.084 0.332
Mo 0.489 0.752 0.999
Mo 0.511 0.248 0.001
W 0.157 0.580 0.331
W 0.843 0.420 0.669
```



10.
TiMo4W3: relaxed, GGA-PBE. Values from VASP.

Results
* calculated total energy: -90.88 eV/f.u.
* calculated volume: 127 Å³/f.u.
* density of states at the Fermi level: 3.8 states/eV per cell
* ΔE_f: -100 meV per atom
* space-group type: Pmmm (47)

Structure (Quantum ESPRESSO input):
```
&SYSTEM
  ibrav = 0, nat = 8, ntyp = 3
/
ATOMIC_SPECIES
Mo 95.94 Mo.upf
W 183.84 W.upf
Ti 47.87 Ti.upf
CELL_PARAMETERS angstrom
3.165 0.000 0.000
0.000 4.490 0.000
0.000 0.000 8.968
ATOMIC_POSITIONS crystal
Mo 0.000 0.000 0.500
Mo 0.000 0.500 0.747
Mo 0.000 0.000 0.000
Mo 0.000 0.500 0.253
W 0.500 0.000 0.248
W 0.500 0.500 0.500
W 0.500 0.000 0.752
Ti 0.500 0.500 0.000
```



11.
TiMo3W: relaxed, GGA-PBE. Values from VASP.

Results
* calculated total energy: -45.19 eV/f.u.
* calculated volume: 90 Å³/f.u.
* density of states at the Fermi level: 8.0 states/eV per cell
* ΔE_f: 1630 meV per atom
* space-group type: Pm-3m (221)

Structure (Quantum ESPRESSO input):
```
&SYSTEM
  ibrav = 0, nat = 5, ntyp = 3
/
ATOMIC_SPECIES
Mo 95.94 Mo.upf
W 183.84 W.upf
Ti 47.87 Ti.upf
CELL_PARAMETERS angstrom
4.489 0.000 0.000
0.000 4.489 0.000
0.000 0.000 4.489
ATOMIC_POSITIONS crystal
Mo 0.000 0.500 0.000
Mo 0.000 0.000 0.500
Mo 0.500 0.000 0.000
W 0.500 0.500 0.500
Ti 0.000 0.000 0.000
```